[1]
Compound: TaCrO4
Source: the Alexandria database
Functional: SCAN
Structure: PBEsol geometry

Geometry as extended XYZ:
```
6
Lattice="3.039 0.000 0.000 0.000 4.599 0.009 0.000 -0.083 4.598" Properties=species:S:1:pos:R:3 pbc="T T T"
Cr 1.520 0.000 0.000
O 1.520 3.184 1.396
O 0.000 0.877 0.895
O 0.000 3.639 3.712
O 1.520 1.332 3.211
Ta 0.000 2.258 2.304
```

ΔE_f (raw): -17.05 eV/f.u.

=====

[2]
Compound: TaCrO4
Source: the Alexandria database
Functional: SCAN
Structure: PBEsol geometry

Geometry as extended XYZ:
```
12
Lattice="-3.763 -3.987 0.681 2.788 -0.255 -4.763 3.699 -0.564 4.065" Properties=species:S:1:pos:R:3 pbc="T T T"
O 0.778 -2.291 -2.186
O 3.009 -0.570 -2.339
O 1.941 -2.534 2.151
O 2.983 -2.402 -0.430
O 1.302 -0.181 -0.156
O -0.291 -4.235 2.271
O -0.266 -2.456 0.416
O 5.178 -0.670 -0.573
Ta 2.767 -2.483 -2.344
Ta -0.233 -1.013 -0.974
Cr -0.731 -3.180 -3.060
Cr -0.519 -4.395 0.333
```

DOS(E_F): 0.0 states/eV per cell
ΔE_f (raw): -17.21 eV/f.u.

=====

[3]
Compound: TaTiCrO6
Source: the Alexandria database
Functional: SCAN
Structure: PBEsol geometry

Geometry as extended XYZ:
```
18
Lattice="4.627 0.000 0.000 0.000 4.627 0.000 0.000 0.000 8.915" Properties=species:S:1:pos:R:3 pbc="T T T"
O 3.233 3.233 4.465
O 1.394 1.394 4.465
O 3.708 0.919 0.007
O 1.398 1.398 1.480
O 1.413 1.413 7.436
O 0.901 3.726 2.979
O 0.915 3.712 5.937
O 0.919 3.708 0.007
O 3.712 0.915 5.937
O 3.214 3.214 7.436
O 3.228 3.228 1.480
O 3.726 0.901 2.979
Ta 2.313 2.313 2.979
Ta 0.000 0.000 7.436
Cr 0.000 0.000 1.486
Cr 2.313 2.313 5.943
Ti 2.313 2.313 8.892
Ti 0.000 0.000 4.435
```

ΔE_f (raw): -27.18 eV/f.u.

=====

[4]
Compound: Ta2Zn2CrO8
Source: the Alexandria database
Functional: SCAN
Structure: PBEsol geometry

Geometry as extended XYZ:
```
26
Lattice="5.217 0.050 0.052 -0.055 5.833 -0.146 -0.086 -2.684 9.548" Properties=species:S:1:pos:R:3 pbc="T T T"
Cr 1.284 2.144 -0.040
Cr 3.792 1.054 9.494
O 0.396 0.751 1.240
O 2.858 2.505 6.099
O 1.808 3.880 3.583
O 0.642 1.003 5.802
O 2.113 -1.979 8.299
O 2.962 5.178 1.155
O 2.217 0.694 3.355
O 0.240 3.657 6.044
O 2.066 0.945 8.413
O 4.434 2.195 3.652
O 4.836 -0.458 3.410
O 4.688 -0.468 8.476
O 3.267 -0.682 5.870
O 4.680 2.448 8.214
O 0.387 3.667 0.978
O 3.009 2.254 1.040
Zn 3.928 1.072 5.340
Zn 1.147 2.126 4.114
Zn 1.337 -0.761 5.363
Zn 3.738 3.960 4.091
Ta 3.833 0.987 2.165
Ta 1.186 5.003 2.039
Ta 3.889 -1.804 7.414
Ta 1.243 2.212 7.288
```

DOS(E_F): 4.5 states/eV per cell
ΔE_f (raw): -31.68 eV/f.u.

=====

[5]
Compound: CrTcO2
Source: the Alexandria database
Functional: SCAN
Structure: PBEsol geometry

Geometry as extended XYZ:
```
4
Lattice="-0.049 -0.791 2.620 0.689 -2.564 0.669 6.398 0.720 1.768" Properties=species:S:1:pos:R:3 pbc="T T T"
Tc 3.519 -1.318 2.528
O 2.455 -2.816 3.486
O 4.584 0.181 1.571
Cr 0.000 0.000 0.000
```

DOS(E_F): 1.5 states/eV per cell
ΔE_f (raw): -4.44 eV/f.u.

=====

[6]
Compound: Ti2Cr3O12
Source: the Alexandria database
Functional: SCAN
Structure: PBEsol geometry

Geometry as extended XYZ:
```
68
Lattice="-5.210 -1.643 7.138 1.609 -8.882 -0.870 10.009 1.074 7.553" Properties=species:S:1:pos:R:3 pbc="T T T"
Ti 6.470 -8.896 11.155
Ti -0.062 -0.555 2.665
Ti 3.044 -4.738 9.629
Ti -0.053 -1.096 8.207
Ti 8.263 -3.637 8.033
Ti 3.364 -4.713 4.192
Ti 6.461 -8.355 5.614
Ti -1.855 -5.814 5.788
O 2.034 -3.988 5.381
O 0.044 -4.139 1.106
O 6.561 -4.239 7.400
O 5.188 -7.521 11.731
O 7.515 -7.452 10.317
O 7.527 -2.754 9.632
O 1.220 -1.930 2.090
O 4.347 -0.777 7.809
O 4.817 -5.518 3.133
O -1.107 -1.999 3.504
O 3.748 -2.921 9.366
O 6.065 -6.885 6.858
O 2.501 -8.085 0.810
O 0.182 -8.206 2.358
O -1.119 -6.697 4.188
O 6.789 -6.988 4.234
O 8.454 -5.237 9.079
O 4.564 -8.335 5.045
O 3.907 -1.366 13.011
O 3.849 -0.400 10.449
O 4.197 -3.003 3.918
O 1.592 -3.933 10.688
O 2.211 -6.448 9.903
O 1.844 -1.116 8.776
O 4.515 -4.968 5.784
O 0.343 -2.566 6.962
O 6.678 0.445 7.049
O -0.153 -5.212 6.421
O 2.559 -9.051 3.372
O 4.374 -5.463 8.440
O 8.904 0.184 8.568
O 2.660 -6.530 4.455
O 5.194 -0.813 5.149
O -0.381 -2.463 9.586
O -2.735 -5.042 7.317
O 6.364 -5.312 12.714
O -2.496 -9.634 5.252
O 8.081 -1.915 7.101
O 1.214 -8.638 8.671
O 6.226 -1.245 11.463
O 9.144 -4.409 6.504
O -1.673 -7.536 6.720
O -0.269 -9.896 6.772
O -2.046 -4.214 4.742
O 4.180 -5.037 11.138
O 1.893 -4.483 8.037
O 2.228 -4.414 2.683
O 2.061 -8.674 6.012
Cr 4.920 -5.986 12.300
Cr 8.191 -0.260 7.151
Cr -1.783 -9.191 6.670
Cr 1.151 -7.720 10.057
Cr 1.023 -4.057 6.705
Cr 1.488 -3.465 1.521
Cr -2.352 -3.089 3.556
Cr 2.962 -8.140 4.716
Cr 5.257 -1.731 3.763
Cr -1.249 -7.436 2.712
Cr 5.385 -5.394 7.116
Cr 3.446 -1.311 9.105
```

DOS(E_F): 19.3 states/eV per cell
ΔE_f (raw): -39.69 eV/f.u.

=====

[7]
Compound: TiV2CrO10
Source: the Alexandria database
Functional: SCAN
Structure: PBEsol geometry

Geometry as extended XYZ:
```
14
Lattice="-3.909 1.145 -0.965 -2.277 -5.562 2.624 -0.565 2.976 5.816" Properties=species:S:1:pos:R:3 pbc="T T T"
V -1.698 1.903 2.559
V -3.632 -2.051 0.697
Ti -3.375 -0.721 3.738
O -3.304 -0.309 -0.162
O -4.176 -1.142 2.151
O -2.138 -2.488 1.065
O -3.192 2.340 2.190
O -1.520 2.679 4.359
O -2.974 -2.291 4.580
O -1.912 0.304 3.356
O -4.648 -3.590 1.386
O -4.439 0.246 4.864
O -1.187 0.924 0.928
Cr -1.955 0.572 -0.483
```

DOS(E_F): 0.0 states/eV per cell
ΔE_f (raw): -33.08 eV/f.u.

=====

[8]
Compound: TlCrO2
Source: the Alexandria database
Functional: SCAN
Structure: PBEsol geometry

Geometry as extended XYZ:
```
4
Lattice="-1.371 -1.368 2.746 0.633 -3.208 0.775 5.344 0.494 4.970" Properties=species:S:1:pos:R:3 pbc="T T T"
Tl 2.303 -2.041 4.246
O 4.016 0.014 4.069
O 0.589 -4.096 4.423
Cr 0.000 0.000 0.000
```

DOS(E_F): 1.3 states/eV per cell
ΔE_f (raw): -3.18 eV/f.u.

=====

[9]
Compound: TlCrO4
Source: the Alexandria database
Functional: SCAN
Structure: PBEsol geometry

Geometry as extended XYZ:
```
48
Lattice="5.699 0.000 0.000 0.000 8.645 0.000 0.000 0.000 14.711" Properties=species:S:1:pos:R:3 pbc="T T T"
O 0.047 7.872 11.714
O 1.425 1.334 12.609
O 4.274 2.308 12.672
O 1.425 4.604 7.642
O 2.783 6.926 7.125
O 5.633 1.719 7.586
O 1.425 6.630 9.394
O 0.047 5.096 4.358
O 4.274 7.312 2.102
O 4.274 7.853 4.714
O 4.274 5.115 12.069
O 2.896 0.774 2.997
O 2.783 6.042 14.481
O 0.066 6.926 7.125
O 2.803 5.096 4.358
O 4.274 5.656 9.458
O 2.896 3.549 10.353
O 2.916 1.719 7.586
O 1.425 6.338 2.039
O 5.633 2.603 0.230
O 5.652 0.774 2.997
O 4.274 4.041 7.069
O 1.425 0.792 9.997
O 1.425 2.989 5.253
O 0.066 6.042 14.481
O 1.425 3.530 2.642
O 5.652 3.549 10.353
O 2.803 7.872 11.714
O 4.274 0.282 14.424
O 2.916 2.603 0.230
O 4.274 2.015 5.317
O 1.425 8.364 0.287
Cr 4.274 8.493 3.180
Cr 4.274 4.475 10.536
Cr 1.425 0.152 11.531
Cr 4.274 1.914 14.213
Cr 1.425 6.731 0.498
Cr 1.425 6.236 7.854
Cr 1.425 4.171 4.175
Cr 4.274 2.409 6.857
Tl 4.274 7.077 13.169
Tl 1.425 3.905 12.842
Tl 1.425 2.755 8.898
Tl 4.274 4.740 1.869
Tl 4.274 5.890 5.814
Tl 4.274 8.227 9.224
Tl 1.425 1.568 1.542
Tl 1.425 0.418 5.487
```

DOS(E_F): 0.0 states/eV per cell
ΔE_f (raw): -9.12 eV/f.u.

=====

[10]
Compound: TmCrO4
Source: the Alexandria database
Functional: SCAN
Structure: PBEsol geometry

Geometry as extended XYZ:
```
12
Lattice="-1.563 5.555 0.776 -4.302 -3.924 0.003 3.432 -1.359 4.505" Properties=species:S:1:pos:R:3 pbc="T T T"
O 1.701 0.146 3.922
O 0.163 1.439 1.719
O -3.626 1.882 1.506
O -1.411 3.774 2.139
O -2.053 -0.452 1.086
O -0.887 -1.031 4.055
O -1.733 1.817 3.809
O 0.855 2.994 3.675
Cr -2.932 0.815 0.390
Cr -0.532 2.506 2.835
Tm 0.000 0.000 0.000
Tm -1.901 -2.234 2.449
```

DOS(E_F): 6.4 states/eV per cell
ΔE_f (raw): -17.45 eV/f.u.

=====

[11]
Compound: VCrO4
Source: the Alexandria database
Functional: SCAN
Structure: PBEsol geometry

Geometry as extended XYZ:
```
12
Lattice="-3.953 3.117 -1.676 2.159 -2.274 -4.280 -3.942 -2.541 -2.480" Properties=species:S:1:pos:R:3 pbc="T T T"
O 0.948 -2.306 -3.919
O -0.545 -1.162 -1.987
O -1.261 -0.825 -4.365
O -2.736 0.362 -2.432
O -4.475 -0.873 -4.070
O -6.684 0.608 -4.516
O -5.192 -0.536 -6.448
O -3.000 -2.060 -6.003
V -1.883 -3.404 -6.530
V -3.854 1.706 -1.905
Cr -0.892 -2.407 -3.380
Cr -0.897 0.422 -2.978
```

DOS(E_F): 3.4 states/eV per cell
ΔE_f (raw): -14.97 eV/f.u.

=====

[12]
Compound: V2CrO6
Source: the Alexandria database
Functional: SCAN
Structure: PBEsol geometry

Geometry as extended XYZ:
```
18
Lattice="-1.226 5.273 -0.320 -3.314 1.439 5.679 5.001 3.218 3.152" Properties=species:S:1:pos:R:3 pbc="T T T"
V 0.715 4.461 2.042
V -0.352 1.336 2.812
V -0.804 8.247 6.190
V 1.590 5.864 5.909
O 2.728 6.240 4.724
O -0.427 5.456 3.041
O 0.063 3.843 0.470
O -0.219 8.686 7.789
O 2.351 4.678 2.384
O 0.566 4.405 5.568
O -1.876 1.311 3.692
O -0.597 0.971 1.110
O 0.389 2.877 2.890
O -2.438 7.597 6.270
O 0.295 7.100 5.553
O 1.703 6.366 7.644
Cr -2.639 1.583 5.474
Cr 3.736 5.715 3.190
```

ΔE_f (raw): -22.72 eV/f.u.

=====

[13]
Compound: VCrO3
Source: the Alexandria database
Functional: SCAN
Structure: PBEsol geometry

Geometry as extended XYZ:
```
20
Lattice="-0.481 3.657 -3.151 -2.420 -4.662 -1.307 -5.299 3.827 5.250" Properties=species:S:1:pos:R:3 pbc="T T T"
Cr -1.985 2.426 -1.560
Cr -6.336 1.321 1.556
Cr -4.305 0.126 -0.110
Cr -4.012 3.590 0.131
O -0.212 1.614 -1.390
O -3.100 5.338 -0.326
O -7.298 2.122 0.068
O -6.317 3.137 2.404
O -5.265 0.801 3.157
O -6.080 -0.411 0.687
O -1.686 -1.817 -0.318
O -3.388 -0.663 1.432
O -2.751 0.626 -1.163
O -1.353 4.136 -2.236
O -2.089 3.002 0.305
O -4.595 1.835 0.782
V -0.992 -0.181 -0.987
V -4.362 2.539 2.666
V -3.479 -2.447 0.479
V -7.327 3.912 0.996
```

DOS(E_F): 5.3 states/eV per cell
ΔE_f (raw): -12.84 eV/f.u.

=====

[14]
Compound: VCrO4
Source: the Alexandria database
Functional: SCAN
Structure: PBEsol geometry

Geometry as extended XYZ:
```
12
Lattice="-0.225 -4.418 -2.229 4.639 1.712 0.285 0.676 -2.712 5.306" Properties=species:S:1:pos:R:3 pbc="T T T"
O 1.630 -2.533 3.581
O 1.223 -4.267 0.850
O 4.164 -2.343 4.847
O 3.459 -2.884 -0.220
O 3.866 -1.150 2.512
O 0.926 -3.074 -1.486
O 1.091 -1.432 0.824
O 3.999 -3.985 2.538
V 3.416 -2.502 3.370
V 1.674 -2.915 -0.009
Cr 0.000 0.000 0.000
Cr 0.338 -1.356 2.653
```

ΔE_f (raw): -15.38 eV/f.u.

=====

[15]
Compound: VCrO3
Source: the Alexandria database
Functional: SCAN
Structure: PBEsol geometry

Geometry as extended XYZ:
```
20
Lattice="4.881 -0.010 0.003 2.431 4.830 -0.050 0.009 2.568 7.984" Properties=species:S:1:pos:R:3 pbc="T T T"
O 1.548 2.824 5.010
O 3.213 4.188 1.708
O 1.673 3.733 7.722
O 1.680 1.922 2.280
O 5.663 3.647 0.215
O 3.949 1.504 0.967
O 4.082 3.206 6.212
O 4.123 2.362 3.691
O 3.341 5.866 6.993
O 3.207 5.011 4.243
O 5.633 5.467 5.655
O 5.782 4.586 2.922
Cr 4.870 5.055 1.255
Cr 4.874 4.614 7.284
Cr 2.435 2.794 0.635
Cr 2.438 6.422 5.354
V 2.448 2.278 6.658
V 4.900 0.996 2.606
V 4.889 4.038 4.566
V 2.466 3.374 3.392
```

DOS(E_F): 4.0 states/eV per cell
ΔE_f (raw): -12.89 eV/f.u.

=====

no.,spin magnetization (μB/cell)
1,3.00
2,6.00
3,6.00
4,8.01
5,3.21
6,8.06
7,0.00
8,2.08
9,0.00
10,2.00
11,6.00
12,8.00
13,10.91
14,6.00
15,11.81